A plane-wave DFT calculation with GGA-PBE was carried out for an optimized crystal structure of Pr2Mg2Cd.

```
Pr2Mg2Cd
1.0
7.470 3.225 3.377
5.502 5.993 3.377
1.137 0.808 6.011
Pr Mg Cd
2 2 1
Cartesian
10.013 7.116 9.758
4.096 2.911 3.007
5.938 4.220 5.738
8.171 5.807 7.027
0.000 0.000 0.000
```

Energy above the most stable polymorph in this dataset in eV per atom: 0.1397
Total magnetic moment in μB/f.u.: 0.00
Calculated volume in A^3/atom: 29.29
ΔE_f in eV per atom: -0.010